Nd3Ni5O12: relaxed, PBE with a Hubbard U.

a b c (Å): 10.9077 10.9077 10.9077
angles (deg): 109.47 109.47 109.47
Last column: nearest neighbours and their distance in Å.
Atoms (fractional coordinates):
1 Nd 0.7500 0.3750 0.1250  8 O 2.41-2.53
2 Nd 0.8750 0.7500 0.1250  8 O 2.41-2.53
3 Nd 0.3750 0.7500 0.6250  8 O 2.41-2.53
4 Nd 0.2500 0.1250 0.3750  8 O 2.41-2.53
5 Nd 0.8750 0.1250 0.2500  8 O 2.41-2.53
6 Nd 0.3750 0.6250 0.2500  8 O 2.41-2.53
7 Nd 0.6250 0.3750 0.7500  8 O 2.41-2.53
8 Nd 0.1250 0.8750 0.7500  8 O 2.41-2.53
9 Nd 0.7500 0.8750 0.6250  8 O 2.41-2.53
10 Nd 0.6250 0.2500 0.3750  8 O 2.41-2.53
11 Nd 0.1250 0.2500 0.8750  8 O 2.41-2.53
12 Nd 0.2500 0.6250 0.8750  8 O 2.41-2.53
13 Ni 0.1250 0.3750 0.2500  4 O 1.86
14 Ni 0.0000 0.5000 0.0000  6 O 2.05
15 Ni 0.0000 0.0000 0.0000  6 O 2.05
16 Ni 0.3750 0.2500 0.1250  4 O 1.86
17 Ni 0.5000 0.0000 0.5000  6 O 2.05
18 Ni 0.5000 0.5000 0.0000  6 O 2.05
19 Ni 0.1250 0.7500 0.3750  4 O 1.86
20 Ni 0.7500 0.1250 0.8750  4 O 1.86
21 Ni 0.7500 0.6250 0.3750  4 O 1.86
22 Ni 0.3750 0.1250 0.7500  4 O 1.86
23 Ni 0.6250 0.8750 0.2500  4 O 1.86
24 Ni 0.5000 0.5000 0.5000  6 O 2.05
25 Ni 0.5000 0.0000 0.0000  6 O 2.05
26 Ni 0.0000 0.0000 0.5000  6 O 2.05
27 Ni 0.2500 0.3750 0.6250  4 O 1.86
28 Ni 0.2500 0.8750 0.1250  4 O 1.86
29 Ni 0.0000 0.5000 0.5000  6 O 2.05
30 Ni 0.8750 0.2500 0.6250  4 O 1.86
31 Ni 0.6250 0.7500 0.8750  4 O 1.86
32 Ni 0.8750 0.6250 0.7500  4 O 1.86
33 O 0.7040 0.1212 0.0236  2 Ni 1.86-2.05
34 O 0.3197 0.5236 0.4024  2 Ni 1.86-2.05
35 O 0.9764 0.3788 0.2960  2 Ni 1.86-2.05
36 O 0.5236 0.2040 0.1212  2 Ni 1.86-2.05
37 O 0.5827 0.7040 0.6803  2 Ni 1.86-2.05
38 O 0.9764 0.5976 0.1803  2 Ni 1.86-2.05
39 O 0.3197 0.7960 0.4173  2 Ni 1.86-2.05
40 O 0.0976 0.9173 0.1212  2 Ni 1.86-2.05
41 O 0.5976 0.9764 0.6803  2 Ni 1.86-2.05
42 O 0.7040 0.5827 0.1803  2 Ni 1.86-2.05
43 O 0.7960 0.4764 0.3788  2 Ni 1.86-2.05
44 O 0.8197 0.9024 0.0236  2 Ni 1.86-2.05
45 O 0.1212 0.7040 0.5236  2 Ni 1.86-2.05
46 O 0.3788 0.4024 0.0827  2 Ni 1.86-2.05
47 O 0.0827 0.9024 0.3788  2 Ni 1.86-2.05
48 O 0.4173 0.1212 0.5976  2 Ni 1.86-2.05
49 O 0.0827 0.1803 0.2040  2 Ni 1.86-2.05
50 O 0.4764 0.6803 0.0976  2 Ni 1.86-2.05
51 O 0.8197 0.9173 0.2960  2 Ni 1.86-2.05
52 O 0.1212 0.4173 0.0976  2 Ni 1.86-2.05
53 O 0.3788 0.9764 0.7960  2 Ni 1.86-2.05
54 O 0.5976 0.6212 0.4173  2 Ni 1.86-2.05
55 O 0.9024 0.8197 0.5236  2 Ni 1.86-2.05
56 O 0.7960 0.3197 0.9173  2 Ni 1.86-2.05
57 O 0.4024 0.3788 0.5827  2 Ni 1.86-2.05
58 O 0.0976 0.1803 0.4764  2 Ni 1.86-2.05
59 O 0.2040 0.6803 0.0827  2 Ni 1.86-2.05
60 O 0.1803 0.0827 0.7040  2 Ni 1.86-2.05
61 O 0.6212 0.0236 0.2040  2 Ni 1.86-2.05
62 O 0.8788 0.5827 0.9024  2 Ni 1.86-2.05
63 O 0.5236 0.3197 0.9024  2 Ni 1.86-2.05
64 O 0.5827 0.8788 0.4024  2 Ni 1.86-2.05
65 O 0.9173 0.8197 0.7960  2 Ni 1.86-2.05
66 O 0.9173 0.0976 0.6212  2 Ni 1.86-2.05
67 O 0.8788 0.2960 0.4764  2 Ni 1.86-2.05
68 O 0.1803 0.0976 0.9764  2 Ni 1.86-2.05
69 O 0.6212 0.5976 0.9173  2 Ni 1.86-2.05
70 O 0.4024 0.0236 0.3197  2 Ni 1.86-2.05
71 O 0.2960 0.4173 0.8197  2 Ni 1.86-2.05
72 O 0.2040 0.5236 0.6212  2 Ni 1.86-2.05
73 O 0.9024 0.0827 0.8788  2 Ni 1.86-2.05
74 O 0.6803 0.2040 0.5827  2 Ni 1.86-2.05
75 O 0.4764 0.7960 0.8788  2 Ni 1.86-2.05
76 O 0.0236 0.4024 0.8197  2 Ni 1.86-2.05
77 O 0.4173 0.2960 0.3197  2 Ni 1.86-2.05
78 O 0.0236 0.6212 0.7040  2 Ni 1.86-2.05
79 O 0.6803 0.4764 0.5976  2 Ni 1.86-2.05
80 O 0.2960 0.8788 0.9764  2 Ni 1.86-2.05

uncorrected energy: -5.988 eV per atom
space group: Ia-3d (230)